# 1
Below is a relaxed structure of CsMn2ZnCl8, with properties calculated at the GGA-PBE level.

**Symmetry**: P-3
**Density of states at the Fermi level**: 10.69 states/eV/cell
**E_form (uncorrected)**: -1.160 eV/atom

a b c (Å): 6.539 6.539 9.500
angles (deg): 90.00 90.00 120.00
Atoms (fractional coordinates):
Cs 0.000 0.000 0.000
Mn 0.333 0.667 0.711
Mn 0.667 0.333 0.289
Zn 0.000 0.000 0.500
Cl 0.003 0.310 0.654
Cl 0.307 0.997 0.654
Cl 0.310 0.307 0.346
Cl 0.333 0.667 0.946
Cl 0.667 0.333 0.054
Cl 0.690 0.693 0.654
Cl 0.693 0.003 0.346
Cl 0.997 0.690 0.346

# 2
Below is a relaxed structure of Cs2MnZnCl6, with properties calculated at the GGA-PBE level.

**Symmetry**: R-3m
**Density of states at the Fermi level**: 7.94 states/eV/cell
**E_form (uncorrected)**: -1.372 eV/atom

a b c (Å): 12.671 12.671 12.671
angles (deg): 33.52 33.52 33.52
Atoms (fractional coordinates):
Cs 0.126 0.126 0.126
Cs 0.290 0.290 0.290
Cs 0.710 0.710 0.710
Cs 0.874 0.874 0.874
Mn 0.000 0.000 0.000
Mn 0.500 0.500 0.500
Zn 0.413 0.413 0.413
Zn 0.587 0.587 0.587
Cl 0.165 0.606 0.606
Cl 0.207 0.207 0.709
Cl 0.207 0.709 0.207
Cl 0.291 0.793 0.793
Cl 0.394 0.394 0.835
Cl 0.394 0.835 0.394
Cl 0.606 0.165 0.606
Cl 0.606 0.606 0.165
Cl 0.709 0.207 0.207
Cl 0.793 0.291 0.793
Cl 0.793 0.793 0.291
Cl 0.835 0.394 0.394

# 3
Below is a relaxed structure of CsMnZn2Cl8, with properties calculated at the GGA-PBE level.

**Symmetry**: R-3
**Density of states at the Fermi level**: 6.55 states/eV/cell
**E_form (uncorrected)**: -1.201 eV/atom

a b c (Å): 11.058 11.058 11.058
angles (deg): 32.89 32.89 32.89
Atoms (fractional coordinates):
Cs 0.000 0.000 0.000
Mn 0.500 0.500 0.500
Zn 0.234 0.234 0.234
Zn 0.766 0.766 0.766
Cl 0.150 0.443 0.772
Cl 0.228 0.850 0.557
Cl 0.305 0.305 0.305
Cl 0.443 0.772 0.150
Cl 0.557 0.228 0.850
Cl 0.695 0.695 0.695
Cl 0.772 0.150 0.443
Cl 0.850 0.557 0.228

# 4
Below is a relaxed structure of Cs3Zr7MnCl20, with properties calculated at the GGA-PBE level.

**Symmetry**: R-3c
**E_form (uncorrected)**: -1.770 eV/atom

a b c (Å): 14.245 14.245 14.245
angles (deg): 56.18 56.18 56.18
Atoms (fractional coordinates):
Cs 0.000 0.000 0.500
Cs 0.000 0.500 0.000
Cs 0.000 0.500 0.500
Cs 0.500 0.000 0.000
Cs 0.500 0.000 0.500
Cs 0.500 0.500 0.000
Zr 0.056 0.178 0.884
Zr 0.116 0.944 0.822
Zr 0.178 0.884 0.056
Zr 0.250 0.250 0.250
Zr 0.322 0.444 0.616
Zr 0.384 0.678 0.556
Zr 0.444 0.616 0.322
Zr 0.556 0.384 0.678
Zr 0.616 0.322 0.444
Zr 0.678 0.556 0.384
Zr 0.750 0.750 0.750
Zr 0.822 0.116 0.944
Zr 0.884 0.056 0.178
Zr 0.944 0.822 0.116
Mn 0.000 0.000 0.000
Mn 0.500 0.500 0.500
Cl 0.064 0.751 0.934
Cl 0.066 0.936 0.249
Cl 0.071 0.250 0.429
Cl 0.115 0.385 0.750
Cl 0.132 0.685 0.182
Cl 0.181 0.181 0.181
Cl 0.182 0.132 0.685
Cl 0.185 0.632 0.682
Cl 0.249 0.066 0.936
Cl 0.250 0.429 0.071
Cl 0.250 0.885 0.615
Cl 0.251 0.564 0.434
Cl 0.315 0.818 0.868
Cl 0.318 0.815 0.368
Cl 0.319 0.319 0.319
Cl 0.368 0.318 0.815
Cl 0.385 0.750 0.115
Cl 0.429 0.071 0.250
Cl 0.434 0.251 0.564
Cl 0.436 0.566 0.749
Cl 0.564 0.434 0.251
Cl 0.566 0.749 0.436
Cl 0.571 0.929 0.750
Cl 0.615 0.250 0.885
Cl 0.632 0.682 0.185
Cl 0.681 0.681 0.681
Cl 0.682 0.185 0.632
Cl 0.685 0.182 0.132
Cl 0.749 0.436 0.566
Cl 0.750 0.115 0.385
Cl 0.750 0.571 0.929
Cl 0.751 0.934 0.064
Cl 0.815 0.368 0.318
Cl 0.818 0.868 0.315
Cl 0.819 0.819 0.819
Cl 0.868 0.315 0.818
Cl 0.885 0.615 0.250
Cl 0.929 0.750 0.571
Cl 0.934 0.064 0.751
Cl 0.936 0.249 0.066

# 5
Below is a relaxed structure of CsMoCl5, with properties calculated at the GGA-PBE level.

**Symmetry**: C2/c
**Density of states at the Fermi level**: 8.00 states/eV/cell
**E_form (uncorrected)**: -1.166 eV/atom

a b c (Å): 7.950 7.950 9.698
angles (deg): 108.38 108.38 59.78
Atoms (fractional coordinates):
Cs 0.004 0.996 0.750
Cs 0.996 0.004 0.250
Mo 0.500 0.500 0.000
Mo 0.500 0.500 0.500
Cl 0.160 0.582 0.461
Cl 0.161 0.576 0.904
Cl 0.418 0.840 0.039
Cl 0.424 0.839 0.596
Cl 0.430 0.570 0.250
Cl 0.570 0.430 0.750
Cl 0.576 0.161 0.404
Cl 0.582 0.160 0.961
Cl 0.839 0.424 0.096
Cl 0.840 0.418 0.539

# 6
Below is a relaxed structure of CsMo2Cl, with properties calculated at the GGA-PBE level.

**Symmetry**: Fm-3m
**Density of states at the Fermi level**: 4.48 states/eV/cell
**E_form (uncorrected)**: 2.072 eV/atom

a b c (Å): 4.751 4.751 4.751
angles (deg): 60.00 60.00 60.00
Atoms (fractional coordinates):
Cs 0.000 0.000 0.000
Mo 0.250 0.250 0.250
Mo 0.750 0.750 0.750
Cl 0.500 0.500 0.500

# 7
Below is a relaxed structure of Cs3MoCl6, with properties calculated at the GGA-PBE level.

**Symmetry**: Fm-3m
**Density of states at the Fermi level**: 0.00 states/eV/cell
**E_form (uncorrected)**: -1.553 eV/atom

a b c (Å): 8.092 8.092 8.092
angles (deg): 60.00 60.00 60.00
Atoms (fractional coordinates):
Cs 0.000 0.000 0.000
Cs 0.250 0.250 0.250
Cs 0.750 0.750 0.750
Mo 0.500 0.500 0.500
Cl 0.285 0.285 0.715
Cl 0.285 0.715 0.285
Cl 0.285 0.715 0.715
Cl 0.715 0.285 0.285
Cl 0.715 0.285 0.715
Cl 0.715 0.715 0.285

# 8
Below is a relaxed structure of CsMoCl3, with properties calculated at the GGA-PBE level.

**Symmetry**: C2/m
**Density of states at the Fermi level**: 3.00 states/eV/cell
**E_form (uncorrected)**: -1.003 eV/atom

a b c (Å): 8.740 8.740 8.945
angles (deg): 103.18 103.18 25.65
Atoms (fractional coordinates):
Cs 0.097 0.097 0.371
Cs 0.903 0.903 0.629
Mo 0.288 0.288 0.117
Mo 0.712 0.712 0.883
Cl 0.149 0.149 0.986
Cl 0.248 0.248 0.719
Cl 0.423 0.423 0.314
Cl 0.577 0.577 0.686
Cl 0.752 0.752 0.281
Cl 0.851 0.851 0.014

# 9
Below is a relaxed structure of Cs2MoCl6, with properties calculated at the GGA-PBE level.

**Symmetry**: Fm-3m
**Density of states at the Fermi level**: 9.55 states/eV/cell
**E_form (uncorrected)**: -1.455 eV/atom

a b c (Å): 7.505 7.505 7.505
angles (deg): 60.00 60.00 60.00
Atoms (fractional coordinates):
Cs 0.250 0.250 0.250
Cs 0.750 0.750 0.750
Mo 0.000 0.000 0.000
Cl 0.227 0.227 0.773
Cl 0.227 0.773 0.227
Cl 0.227 0.773 0.773
Cl 0.773 0.227 0.227
Cl 0.773 0.227 0.773
Cl 0.773 0.773 0.227

# 10
Below is a relaxed structure of Cs3MoCl6, with properties calculated at the GGA-PBE level.

**Symmetry**: R-3
**Density of states at the Fermi level**: 0.00 states/eV/cell
**E_form (uncorrected)**: -1.559 eV/atom

a b c (Å): 9.315 9.315 9.315
angles (deg): 90.90 90.90 90.90
Atoms (fractional coordinates):
Cs 0.064 0.566 0.748
Cs 0.252 0.936 0.434
Cs 0.434 0.252 0.936
Cs 0.566 0.748 0.064
Cs 0.748 0.064 0.566
Cs 0.936 0.434 0.252
Mo 0.000 0.000 0.000
Mo 0.500 0.500 0.500
Cl 0.048 0.938 0.745
Cl 0.062 0.255 0.952
Cl 0.251 0.558 0.422
Cl 0.255 0.952 0.062
Cl 0.422 0.251 0.558
Cl 0.442 0.578 0.749
Cl 0.558 0.422 0.251
Cl 0.578 0.749 0.442
Cl 0.745 0.048 0.938
Cl 0.749 0.442 0.578
Cl 0.938 0.745 0.048
Cl 0.952 0.062 0.255

# 11
Below is a relaxed structure of CsMo3Cl, with properties calculated at the GGA-PBE level.

**Symmetry**: Pm-3m
**Density of states at the Fermi level**: 13.77 states/eV/cell
**E_form (uncorrected)**: 3.402 eV/atom

a b c (Å): 5.011 5.011 5.011
angles (deg): 90.00 90.00 90.00
Atoms (fractional coordinates):
Cs 0.000 0.000 0.000
Mo 0.000 0.000 0.500
Mo 0.000 0.500 0.000
Mo 0.500 0.000 0.000
Cl 0.500 0.500 0.500

# 12
Below is a relaxed structure of Cs3MoCl8, with properties calculated at the GGA-PBE level.

**Symmetry**: P6_3mc
**Density of states at the Fermi level**: 14.43 states/eV/cell
**E_form (uncorrected)**: -1.393 eV/atom

a b c (Å): 10.318 10.318 9.383
angles (deg): 90.00 90.00 120.00
Atoms (fractional coordinates):
Cs 0.153 0.307 0.000
Cs 0.153 0.847 0.000
Cs 0.307 0.153 0.500
Cs 0.693 0.847 0.000
Cs 0.847 0.153 0.500
Cs 0.847 0.693 0.500
Mo 0.333 0.667 0.451
Mo 0.667 0.333 0.951
Cl 0.000 0.000 0.255
Cl 0.000 0.000 0.755
Cl 0.118 0.559 0.307
Cl 0.226 0.452 0.599
Cl 0.226 0.774 0.599
Cl 0.333 0.667 0.944
Cl 0.441 0.559 0.307
Cl 0.441 0.882 0.307
Cl 0.452 0.226 0.099
Cl 0.548 0.774 0.599
Cl 0.559 0.118 0.807
Cl 0.559 0.441 0.807
Cl 0.667 0.333 0.444
Cl 0.774 0.226 0.099
Cl 0.774 0.548 0.099
Cl 0.882 0.441 0.807

# 13
Below is a relaxed structure of CsMo3Cl, with properties calculated at the GGA-PBE level.

**Symmetry**: Pm-3m
**Density of states at the Fermi level**: 6.74 states/eV/cell
**E_form (uncorrected)**: 1.922 eV/atom

a b c (Å): 4.700 4.700 4.700
angles (deg): 90.00 90.00 90.00
Atoms (fractional coordinates):
Cs 0.000 0.000 0.000
Mo 0.000 0.500 0.500
Mo 0.500 0.000 0.500
Mo 0.500 0.500 0.000
Cl 0.500 0.500 0.500

# 14
Below is a relaxed structure of Cs3Mo2Cl9, with properties calculated at the GGA-PBE level.

**Symmetry**: P6_3/mmc
**E_form (uncorrected)**: -1.426 eV/atom

a b c (Å): 7.545 7.545 18.336
angles (deg): 90.00 90.00 120.00
Atoms (fractional coordinates):
Cs 0.000 0.000 0.250
Cs 0.000 0.000 0.750
Cs 0.333 0.667 0.069
Cs 0.333 0.667 0.431
Cs 0.667 0.333 0.569
Cs 0.667 0.333 0.931
Mo 0.333 0.667 0.674
Mo 0.333 0.667 0.826
Mo 0.667 0.333 0.174
Mo 0.667 0.333 0.326
Cl 0.017 0.508 0.750
Cl 0.182 0.363 0.598
Cl 0.182 0.363 0.902
Cl 0.182 0.818 0.598
Cl 0.182 0.818 0.902
Cl 0.363 0.182 0.098
Cl 0.363 0.182 0.402
Cl 0.492 0.508 0.750
Cl 0.492 0.983 0.750
Cl 0.508 0.017 0.250
Cl 0.508 0.492 0.250
Cl 0.637 0.818 0.598
Cl 0.637 0.818 0.902
Cl 0.818 0.182 0.098
Cl 0.818 0.182 0.402
Cl 0.818 0.637 0.098
Cl 0.818 0.637 0.402
Cl 0.983 0.492 0.250

# 15
Below is a relaxed structure of Cs3MoCl8, with properties calculated at the GGA-PBE level.

**Symmetry**: I4/mmm
**Density of states at the Fermi level**: 18.93 states/eV/cell
**E_form (uncorrected)**: -1.156 eV/atom

a b c (Å): 9.148 9.148 9.148
angles (deg): 130.63 130.63 72.40
Atoms (fractional coordinates):
Cs 0.000 0.000 0.000
Cs 0.250 0.750 0.500
Cs 0.750 0.250 0.500
Mo 0.500 0.500 0.000
Cl 0.202 0.202 0.607
Cl 0.202 0.595 0.000
Cl 0.405 0.405 0.607
Cl 0.405 0.798 0.000
Cl 0.595 0.202 0.000
Cl 0.595 0.595 0.393
Cl 0.798 0.405 0.000
Cl 0.798 0.798 0.393

# 16
Below is a relaxed structure of CsMoCl3, with properties calculated at the GGA-PBE level.

**Symmetry**: Pm-3m
**Density of states at the Fermi level**: 0.67 states/eV/cell
**E_form (uncorrected)**: -0.985 eV/atom

a b c (Å): 5.211 5.211 5.211
angles (deg): 90.00 90.00 90.00
Atoms (fractional coordinates):
Cs 0.000 0.000 0.000
Mo 0.500 0.500 0.500
Cl 0.000 0.500 0.500
Cl 0.500 0.000 0.500
Cl 0.500 0.500 0.000

# 17
Below is a relaxed structure of Cs3MoCl7, with properties calculated at the GGA-PBE level.

**Symmetry**: P4/mbm
**Density of states at the Fermi level**: 21.51 states/eV/cell
**E_form (uncorrected)**: -1.521 eV/atom

a b c (Å): 10.298 10.298 7.318
angles (deg): 90.00 90.00 90.00
Atoms (fractional coordinates):
Cs 0.000 0.000 0.000
Cs 0.180 0.320 0.500
Cs 0.320 0.820 0.500
Cs 0.500 0.500 0.000
Cs 0.680 0.180 0.500
Cs 0.820 0.680 0.500
Mo 0.000 0.500 0.000
Mo 0.500 0.000 0.000
Cl 0.000 0.000 0.500
Cl 0.116 0.616 0.233
Cl 0.116 0.616 0.767
Cl 0.165 0.335 0.000
Cl 0.335 0.835 0.000
Cl 0.384 0.116 0.233
Cl 0.384 0.116 0.767
Cl 0.500 0.500 0.500
Cl 0.616 0.884 0.233
Cl 0.616 0.884 0.767
Cl 0.665 0.165 0.000
Cl 0.835 0.665 0.000
Cl 0.884 0.384 0.233
Cl 0.884 0.384 0.767

# 18
Below is a relaxed structure of Cs2MoCl4, with properties calculated at the GGA-PBE level.

**Symmetry**: I4/mmm
**Density of states at the Fermi level**: 0.42 states/eV/cell
**E_form (uncorrected)**: -1.289 eV/atom

a b c (Å): 9.255 9.255 9.255
angles (deg): 146.52 146.52 48.08
Atoms (fractional coordinates):
Cs 0.140 0.140 0.000
Cs 0.860 0.860 0.000
Mo 0.500 0.500 0.000
Cl 0.000 0.500 0.500
Cl 0.350 0.350 0.000
Cl 0.500 0.000 0.500
Cl 0.650 0.650 0.000

Going through the records in order, we get calculated total energy values of -4.0969, -3.6949, -3.4795, -5.2696, -4.1547, -4.0185, -4.0002, -4.4481, -4.0796, -4.0060, -3.6366, -3.7399, -5.1171, -4.3429, -3.5034, -4.4304, -3.9140, -4.1353 eV per atom.